Er7TmSc3 | GGA-PBE | relaxed

Properties
As for the electronic total energy: -4.754 eV per atom.

Structure (CIF):
```
data_Er7TmSc3
_space_group_name_H-M_alt 'P 1'
_space_group_IT_number 1
_space_group_name_Hall 'P 1'
_cell_length_a 8.120
_cell_length_b 8.120
_cell_length_c 8.120
_cell_angle_alpha 139.33
_cell_angle_beta 99.03
_cell_angle_gamma 94.85
loop_
_atom_site_label
_atom_site_type_symbol
_atom_site_fract_x
_atom_site_fract_y
_atom_site_fract_z
_atom_site_occupancy
Er1 Er 0.000 0.000 0.000 1
Er2 Er 0.104 0.795 0.310 1
Er3 Er 0.304 0.500 0.804 1
Er4 Er 0.485 0.795 0.690 1
Er5 Er 0.515 0.205 0.310 1
Er6 Er 0.696 0.500 0.196 1
Er7 Er 0.896 0.205 0.690 1
Tm1 Tm 0.000 0.500 0.500 1
Sc1 Sc 0.287 0.287 0.000 1
Sc2 Sc 0.500 0.000 0.500 1
Sc3 Sc 0.713 0.713 0.000 1
```